1.
Compound: SmGd2In
Source: Alexandria
Functional: PBE
Structure: optimized geometry

## Properties
D(E_F)	1.13	states/eV/atom
final energy	-0.3236	hartree per atom
spin magnetization	44.559	Bohr magnetons per cell
energy above the lowest structure with this stoichiometry	1.578	eV per formula unit

a = 3.5322 Å, b = 3.5322 Å, c = 36.5425 Å
α = 90.00°, β = 90.00°, γ = 120.00°
Space group R-3m (No. 166, hexagonal axes)
Symmetry-distinct sites (fractional):
1 Sm 0.0000 0.0000 0.0000 [3 per cell]
2 Gd 0.0000 0.0000 0.4122 [6 per cell]
3 In 0.0000 0.0000 0.5000 [3 per cell]

=====

2.
Compound: SmGd2In
Source: Alexandria
Functional: PBE
Structure: optimized geometry

## Properties
D(E_F)	1.12	states/eV/atom
final energy	-0.3359	hartree per atom
spin magnetization	14.637	Bohr magnetons per cell
energy above the lowest structure with this stoichiometry	0.237	eV per formula unit

a = 3.612 Å, b = 3.612 Å, c = 9.320 Å
α = 90.00°, β = 90.00°, γ = 90.00°
Space group P4/mmm (No. 123)
Symmetry-distinct sites (fractional):
1 Sm 0.000 0.000 0.000 [1 per cell]
2 Gd 0.500 0.500 0.274 [2 per cell]
3 In 0.000 0.000 0.500 [1 per cell]

=====

3.
Compound: SmGdIn2
Source: Alexandria
Functional: PBE
Structure: optimized geometry

## Properties
D(E_F)	0.66	states/eV/atom
final energy	-0.2348	hartree per atom
spin magnetization	21.161	Bohr magnetons per cell
energy above the lowest structure with this stoichiometry	0.700	eV per formula unit

a = 3.7511 Å, b = 3.7511 Å, c = 29.4596 Å
α = 90.00°, β = 90.00°, γ = 120.00°
Space group R-3m (No. 166, hexagonal axes)
Symmetry-distinct sites (fractional):
1 Sm 0.0000 0.0000 0.0000 [3 per cell]
2 Gd 0.0000 0.0000 0.5000 [3 per cell]
3 In 0.0000 0.0000 0.2494 [6 per cell]

=====

4.
Compound: SmGdIn2
Source: Alexandria
Functional: PBE
Structure: optimized geometry

## Properties
D(E_F)	0.80	states/eV/atom
final energy	-0.2409	hartree per atom
spin magnetization	28.684	Bohr magnetons per cell
energy above the lowest structure with this stoichiometry	0.039	eV per formula unit

a = 7.623 Å, b = 7.623 Å, c = 7.623 Å
α = 90.00°, β = 90.00°, γ = 90.00°
Space group Fm-3m (No. 225)
Symmetry-distinct sites (fractional):
1 Sm 0.000 0.000 0.000 [4 per cell]
2 Gd 0.000 0.000 0.500 [4 per cell]
3 In 0.250 0.250 0.250 [8 per cell]

=====

5.
Compound: SmGd2In
Source: Alexandria
Functional: PBE
Structure: optimized geometry

## Properties
D(E_F)	0.86	states/eV/atom
final energy	-0.3381	hartree per atom
spin magnetization	15.396	Bohr magnetons per cell
energy above the lowest structure with this stoichiometry	0.000	eV per formula unit

a = 4.885 Å, b = 4.885 Å, c = 4.923 Å
α = 90.00°, β = 90.00°, γ = 90.00°
Space group P4/mmm (No. 123)
Symmetry-distinct sites (fractional):
1 Sm 0.000 0.000 0.000 [1 per cell]
2 Gd 0.000 0.500 0.500 [2 per cell]
3 In 0.500 0.500 0.000 [1 per cell]

=====

6.
Compound: SmGdInTc
Source: Alexandria
Functional: PBE
Structure: optimized geometry

## Properties
D(E_F)	0.99	states/eV/atom
final energy	-0.2961	hartree per atom
spin magnetization	27.837	Bohr magnetons per cell

a = 7.282 Å, b = 7.282 Å, c = 7.282 Å
α = 90.00°, β = 90.00°, γ = 90.00°
Space group F-43m (No. 216)
Symmetry-distinct sites (fractional):
1 Sm 0.000 0.000 0.000 [4 per cell]
2 Gd 0.000 0.000 0.500 [4 per cell]
3 In 0.250 0.250 0.750 [4 per cell]
4 Tc 0.250 0.250 0.250 [4 per cell]

=====

7.
Compound: SmGdTiIn
Source: Alexandria
Functional: PBE
Structure: optimized geometry

## Properties
D(E_F)	1.27	states/eV/atom
final energy	-0.2728	hartree per atom
spin magnetization	18.206	Bohr magnetons per cell

a = 7.523 Å, b = 7.523 Å, c = 7.523 Å
α = 90.00°, β = 90.00°, γ = 90.00°
Space group F-43m (No. 216)
Symmetry-distinct sites (fractional):
1 Sm 0.000 0.000 0.000 [4 per cell]
2 Gd 0.000 0.000 0.500 [4 per cell]
3 Ti 0.250 0.250 0.250 [4 per cell]
4 In 0.250 0.250 0.750 [4 per cell]

=====

8.
Compound: SmGdTlIn
Source: Alexandria
Functional: PBE
Structure: optimized geometry

## Properties
D(E_F)	0.79	states/eV/atom
final energy	-0.2353	hartree per atom
spin magnetization	29.001	Bohr magnetons per cell

a = 7.664 Å, b = 7.664 Å, c = 7.664 Å
α = 90.00°, β = 90.00°, γ = 90.00°
Space group F-43m (No. 216)
Symmetry-distinct sites (fractional):
1 Sm 0.000 0.000 0.000 [4 per cell]
2 Gd 0.000 0.000 0.500 [4 per cell]
3 Tl 0.250 0.250 0.750 [4 per cell]
4 In 0.250 0.250 0.250 [4 per cell]

=====

9.
Compound: SmGdTmIn
Source: Alexandria
Functional: PBE
Structure: optimized geometry

## Properties
D(E_F)	1.59	states/eV/atom
final energy	-0.2442	hartree per atom
spin magnetization	33.132	Bohr magnetons per cell

a = 7.722 Å, b = 7.722 Å, c = 7.722 Å
α = 90.00°, β = 90.00°, γ = 90.00°
Space group F-43m (No. 216)
Symmetry-distinct sites (fractional):
1 Sm 0.000 0.000 0.000 [4 per cell]
2 Gd 0.250 0.250 0.750 [4 per cell]
3 Tm 0.000 0.000 0.500 [4 per cell]
4 In 0.250 0.250 0.250 [4 per cell]

=====

10.
Compound: SmGdZnIn
Source: Alexandria
Functional: PBE
Structure: optimized geometry

## Properties
D(E_F)	0.89	states/eV/atom
final energy	-0.2245	hartree per atom
spin magnetization	31.437	Bohr magnetons per cell

a = 7.465 Å, b = 7.465 Å, c = 7.465 Å
α = 90.00°, β = 90.00°, γ = 90.00°
Space group F-43m (No. 216)
Symmetry-distinct sites (fractional):
1 Sm 0.000 0.000 0.000 [4 per cell]
2 Gd 0.000 0.000 0.500 [4 per cell]
3 Zn 0.250 0.250 0.250 [4 per cell]
4 In 0.250 0.250 0.750 [4 per cell]

=====

11.
Compound: GdIn2Sn
Source: Alexandria
Functional: PBE
Structure: optimized geometry

## Properties
D(E_F)	0.58	states/eV/atom
final energy	-0.2333	hartree per atom
spin magnetization	6.855	Bohr magnetons per cell
energy above the lowest structure with this stoichiometry	0.000	eV per formula unit

a = 4.597 Å, b = 4.597 Å, c = 4.850 Å
α = 90.00°, β = 90.00°, γ = 90.00°
Space group P4/mmm (No. 123)
Symmetry-distinct sites (fractional):
1 Gd 0.000 0.000 0.000 [1 per cell]
2 In 0.000 0.500 0.500 [2 per cell]
3 Sn 0.500 0.500 0.000 [1 per cell]

=====

12.
Compound: GdIn2Sn
Source: Alexandria
Functional: PBE
Structure: optimized geometry

## Properties
D(E_F)	0.99	states/eV/atom
final energy	-0.2125	hartree per atom
spin magnetization	22.430	Bohr magnetons per cell
energy above the lowest structure with this stoichiometry	2.268	eV per formula unit

a = 3.5091 Å, b = 3.5091 Å, c = 33.9006 Å
α = 90.00°, β = 90.00°, γ = 120.00°
Space group R-3m (No. 166, hexagonal axes)
Symmetry-distinct sites (fractional):
1 Gd 0.0000 0.0000 0.0000 [3 per cell]
2 In 0.0000 0.0000 0.0931 [6 per cell]
3 Sn 0.0000 0.0000 0.5000 [3 per cell]

=====

13.
Compound: GdInSn2
Source: Alexandria
Functional: PBE
Structure: optimized geometry

## Properties
D(E_F)	1.00	states/eV/atom
final energy	-0.2356	hartree per atom
spin magnetization	28.911	Bohr magnetons per cell
energy above the lowest structure with this stoichiometry	1.075	eV per formula unit

a = 7.621 Å, b = 7.621 Å, c = 7.621 Å
α = 90.00°, β = 90.00°, γ = 90.00°
Space group Fm-3m (No. 225)
Symmetry-distinct sites (fractional):
1 Gd 0.000 0.000 0.000 [4 per cell]
2 In 0.000 0.000 0.500 [4 per cell]
3 Sn 0.250 0.250 0.250 [8 per cell]

=====

no.,V (Å³/atom),E_form (kJ/mol of formula units)
1,32.9,38
2,30.4,-91
3,29.9,-124
4,27.7,-188
5,29.4,-114
6,24.1,-31
7,26.6,-25
8,28.1,-165
9,28.8,-55
10,26.0,-157
11,25.6,-177
12,30.1,42
13,27.7,-79